No. 1
Material: RbCa2FeBr8
Method: DFT, GGA-PBE
State: optimized geometry

Calculated values
Total moment: 4.97 μB/cell
SG: P-1, No. 2

Lattice parameters (Å, degrees): 6.5917 6.9076 9.0297 89.95 89.92 88.33
Positions (direct):
Rb  0.0000  0.0000  0.0000
Ca  0.5000  0.5001  0.2583
Ca  0.5000  0.4999  0.7417
Fe  0.0000  0.0000  0.5000
Br  0.2246  0.8443  0.6945
Br  0.2255  0.8453  0.3053
Br  0.2517  0.3231  0.5002
Br  0.2694  0.3862  0.0003
Br  0.7306  0.6138  0.9997
Br  0.7483  0.6769  0.4998
Br  0.7745  0.1547  0.6947
Br  0.7754  0.1557  0.3055

No. 2
Material: Rb2CaFeBr6
Method: DFT, GGA-PBE
State: optimized geometry

Calculated values
Total moment: 8.00 μB/cell
Offset from the most stable computed form: 0.000 eV/atom
SG: P2_1/c, No. 14

Lattice parameters (Å, degrees): 7.7054 7.7710 13.4057 90.00 124.99 90.00
Positions (direct):
Rb  0.2395  0.0408  0.2491
Rb  0.2395  0.4592  0.7491
Rb  0.7605  0.5408  0.2509
Rb  0.7605  0.9592  0.7509
Ca  0.5000  0.0000  0.0000
Ca  0.5000  0.5000  0.5000
Fe  0.0000  0.0000  0.5000
Fe  0.0000  0.5000  0.0000
Br  0.1739  0.2247  0.9725
Br  0.1739  0.2753  0.4725
Br  0.2475  0.7019  0.9719
Br  0.2475  0.7981  0.4719
Br  0.2930  0.0046  0.7386
Br  0.2930  0.4954  0.2386
Br  0.7070  0.5046  0.7614
Br  0.7070  0.9954  0.2614
Br  0.7525  0.2019  0.5281
Br  0.7525  0.2981  0.0281
Br  0.8261  0.7247  0.5275
Br  0.8261  0.7753  0.0275

No. 3
Material: Rb2CaFeBr6
Method: DFT, GGA-PBE
State: optimized geometry

Calculated values
Total moment: 4.00 μB/cell
Offset from the most stable computed form: 0.011 eV/atom
SG: Fm-3m, No. 225

Lattice parameters (Å, degrees): 7.7817 7.7817 7.7817 60.00 60.00 60.00
Positions (direct):
Rb  0.2500  0.2500  0.2500
Rb  0.7500  0.7500  0.7500
Ca  0.0000  0.0000  0.0000
Fe  0.5000  0.5000  0.5000
Br  0.2609  0.2609  0.7391
Br  0.2609  0.7391  0.2609
Br  0.2609  0.7391  0.7391
Br  0.7391  0.2609  0.2609
Br  0.7391  0.2609  0.7391
Br  0.7391  0.7391  0.2609

No. 4
Material: Ca2FeReBr
Method: DFT, GGA-PBE
State: optimized geometry

Calculated values
Total moment: 4.19 μB/cell
SG: P4/mmm, No. 123

Lattice parameters (Å, degrees): 5.4870 5.4870 4.3302 90.00 90.00 90.00
Positions (direct):
Ca  0.0000  0.5000  0.0000
Ca  0.5000  0.0000  0.0000
Fe  0.0000  0.0000  0.0000
Re  0.5000  0.5000  0.5000
Br  0.0000  0.0000  0.5000

No. 5
Material: CaFeSe2Br
Method: DFT, GGA-PBE
State: optimized geometry

Calculated values
Total moment: 4.19 μB/cell
Offset from the most stable computed form: 0.880 eV/atom
SG: P4/mmm, No. 123

Lattice parameters (Å, degrees): 5.4830 5.4830 5.3778 90.00 90.00 90.00
Positions (direct):
Ca  0.0000  0.0000  0.0000
Fe  0.5000  0.5000  0.5000
Se  0.0000  0.5000  0.0000
Se  0.5000  0.0000  0.0000
Br  0.0000  0.0000  0.5000

No. 6
Material: CaFeSe2Br
Method: DFT, GGA-PBE
State: optimized geometry

Calculated values
Total moment: 3.28 μB/cell
Offset from the most stable computed form: 0.000 eV/atom
SG: P4/mmm, No. 123

Lattice parameters (Å, degrees): 4.8033 4.8033 5.2504 90.00 90.00 90.00
Positions (direct):
Ca  0.0000  0.0000  0.0000
Fe  0.5000  0.5000  0.5000
Se  0.0000  0.5000  0.5000
Se  0.5000  0.0000  0.5000
Br  0.5000  0.5000  0.0000

No. 7
Material: CaFeSeBr2
Method: DFT, GGA-PBE
State: optimized geometry

Calculated values
Total moment: 3.39 μB/cell
Offset from the most stable computed form: 0.000 eV/atom
SG: P4/mmm, No. 123

Lattice parameters (Å, degrees): 5.0634 5.0634 4.9736 90.00 90.00 90.00
Positions (direct):
Ca  0.0000  0.0000  0.0000
Fe  0.5000  0.5000  0.5000
Se  0.5000  0.5000  0.0000
Br  0.0000  0.5000  0.5000
Br  0.5000  0.0000  0.5000

No. 8
Material: CaFeSeBr2
Method: DFT, GGA-PBE
State: optimized geometry

Calculated values
Total moment: 3.87 μB/cell
Offset from the most stable computed form: 0.581 eV/atom
SG: P4/mmm, No. 123

Lattice parameters (Å, degrees): 5.4159 5.4159 5.7537 90.00 90.00 90.00
Positions (direct):
Ca  0.0000  0.0000  0.0000
Fe  0.5000  0.5000  0.5000
Se  0.0000  0.0000  0.5000
Br  0.0000  0.5000  0.0000
Br  0.5000  0.0000  0.0000

Calculated formation energy (no corrections) in order - -1.369; -1.411; -1.400; 1.086; 0.229; -0.650; -0.708; -0.127 eV per atom
Calculated E_tot in order - -43.24; -73.10; -36.44; -21.16; -17.96; -22.36; -20.83; -17.93 eV for the cell shown
Calculated V in order - 34.2; 32.9; 33.3; 26.1; 32.3; 24.2; 25.5; 33.8 Å³/atom